Entry 1:
VASP calculation (GGA-PBE) on NiPtCl2 after structural relaxation.

The calculation puts the energy relative to the elements, uncorrected at 0.362 eV/atom. Its volume is 154.0 Å³ per cell. The calculation puts the total energy at -3.52 eV per atom. As for the energy relative to the lowest polymorph listed for this composition: 0.581 eV/atom.

It has space group I-4m2 (No. 119), with a = 3.449 Å, b = 3.449 Å, c = 12.950 Å, α = 90.00°, β = 90.00° and γ = 90.00°. The asymmetric unit holds Ni at (0.000, 0.000, 0.000), Pt at (0.000, 0.500, 0.750), Cl at (0.000, 0.000, 0.500) and Cl at (0.000, 0.500, 0.250).

=====

Entry 2:
VASP calculation (GGA-PBE) on Li2BeOs after structural relaxation.

Its formation energy is 73 meV per atom. Its volume is 96.8 Å³ per cell. The calculation puts the total energy at -4.62 eV per atom.

It has space group C2/m (No. 12), with a = 4.782 Å, b = 9.038 Å, c = 2.542 Å, α = 90.00°, β = 118.26° and γ = 90.00°. The asymmetric unit holds Li at (0.250, 0.250, 0.000), Be at (0.000, 0.000, 0.500) and Os at (0.000, 0.500, 0.500).

=====

Entry 3:
VASP calculation (GGA-PBE) on Tb2Pr6Sm3Ho after structural relaxation.

Its formation energy is 12 meV per atom. Its volume is 824.3 Å³ per cell. The calculation puts the total energy at -4.71 eV per atom.

It has space group C2/m (No. 12), with a = 6.343 Å, b = 10.990 Å, c = 12.011 Å, α = 90.00°, β = 100.12° and γ = 90.00°. The asymmetric unit holds Tb at (0.000, 0.167, 0.000), Pr at (0.250, 0.000, 0.248), Pr at (0.250, 0.167, 0.752), Sm at (0.000, 0.000, 0.500), Sm at (0.000, 0.333, 0.500) and Ho at (0.000, 0.500, 0.000).

=====

Entry 4:
VASP calculation (GGA-PBE) on CsSc3Tl2F12 after structural relaxation.

The calculation puts the energy relative to the elements, uncorrected at -3.386 eV/atom. Its volume is 1075.6 Å³ per cell. The calculation puts the total energy at -6.00 eV per atom.

It has space group R-3m (No. 166, hexagonal axes), with a = 7.9169 Å, b = 7.9169 Å, c = 19.8151 Å, α = 90.00°, β = 90.00° and γ = 120.00°. The asymmetric unit holds Cs at (0.0000, 0.0000, 0.0000), Sc at (0.0000, 0.5000, 0.5000), Tl at (0.0000, 0.0000, 0.3528), F at (0.0581, 0.5290, 0.4013) and F at (0.0921, 0.5460, 0.8168).

=====

Entry 5:
VASP calculation (GGA-PBE) on NpMnP2 after structural relaxation.

Its formation energy is -472 meV per atom. Its volume is 139.5 Å³ per cell. The calculation puts the total energy at -8.70 eV per atom. As for the energy relative to the lowest polymorph listed for this composition: 0.165 eV/atom.

It has space group I-4m2 (No. 119), with a = 3.726 Å, b = 3.726 Å, c = 10.049 Å, α = 90.00°, β = 90.00° and γ = 90.00°. The asymmetric unit holds Np at (0.000, 0.000, 0.000), Mn at (0.000, 0.500, 0.750) and P at (0.000, 0.000, 0.379).

=====

Entry 6:
VASP calculation (GGA-PBE) on CdCuF4 after structural relaxation.

The calculation puts the energy relative to the elements, uncorrected at -1.823 eV/atom. Its volume is 163.3 Å³ per cell. The calculation puts the total energy at -3.91 eV per atom. As for the energy relative to the lowest polymorph listed for this composition: 0.042 eV/atom.

It has space group Pnc2 (No. 30), with a = 5.413 Å, b = 5.058 Å, c = 5.963 Å, α = 90.00°, β = 90.00° and γ = 90.00°. The asymmetric unit holds Cd at (0.000, 0.000, 0.000), Cu at (0.500, 0.000, 0.331), F at (0.191, 0.199, 0.299) and F at (0.349, 0.743, 0.571).

=====

Entry 7:
VASP calculation (GGA-PBE) on SrSbTe2P after structural relaxation.

The calculation puts the energy relative to the elements, uncorrected at -0.251 eV/atom. Its volume is 155.8 Å³ per cell. The calculation puts the total energy at -3.75 eV per atom. As for the energy relative to the lowest polymorph listed for this composition: 0.000 eV/atom.

It has space group P4/mmm (No. 123), with a = 5.548 Å, b = 5.548 Å, c = 5.063 Å, α = 90.00°, β = 90.00° and γ = 90.00°. The asymmetric unit holds Sr at (0.000, 0.000, 0.000), Sb at (0.500, 0.500, 0.000), Te at (0.000, 0.500, 0.500) and P at (0.500, 0.500, 0.500).

=====

Entry 8:
VASP calculation (GGA-PBE) on Pr2Th3ScSe6 after structural relaxation.

The calculation puts the energy relative to the elements, uncorrected at -1.611 eV/atom. Its volume is 618.2 Å³ per cell. The calculation puts the total energy at -6.53 eV per atom.

It has space group C2/m (No. 12), with a = 18.301 Å, b = 4.136 Å, c = 8.444 Å, α = 90.00°, β = 104.73° and γ = 90.00°. The asymmetric unit holds Pr at (0.165, 0.000, 0.332), Th at (0.000, 0.500, 0.500), Th at (0.172, 0.000, 0.837), Sc at (0.000, 0.500, 0.000), Se at (0.004, 0.000, 0.770), Se at (0.156, 0.500, 0.077) and Se at (0.167, 0.500, 0.585).

=====

Entry 9:
VASP calculation (GGA-PBE) on La2Sm3Sn4 after structural relaxation.

Its formation energy is -652 meV per atom. Its volume is 1150.6 Å³ per cell. The calculation puts the total energy at -5.10 eV per atom. As for the energy relative to the lowest polymorph listed for this composition: 0.155 eV/atom.

It has space group Cmce (No. 64), with a = 7.207 Å, b = 17.514 Å, c = 9.115 Å, α = 90.00°, β = 90.00° and γ = 90.00°. The asymmetric unit holds La at (0.000, 0.110, 0.088), Sm at (0.000, 0.000, 0.500), Sm at (0.250, 0.207, 0.750), Sn at (0.000, 0.185, 0.444) and Sn at (0.250, 0.030, 0.750).

=====

Entry 10:
VASP calculation (GGA-PBE) on HoMgZn2Au2 after structural relaxation.

Its formation energy is -553 meV per atom. Its volume is 115.5 Å³ per cell. The calculation puts the total energy at -3.10 eV per atom.

It has space group P-3m1 (No. 164), with a = 4.5154 Å, b = 4.5154 Å, c = 6.5431 Å, α = 90.00°, β = 90.00° and γ = 120.00°. The asymmetric unit holds Ho at (0.0000, 0.0000, 0.0000), Mg at (0.0000, 0.0000, 0.5000), Zn at (0.3333, 0.6667, 0.7166) and Au at (0.3333, 0.6667, 0.2642).

=====

Entry 11:
VASP calculation (GGA-PBE) on CuMoIr after structural relaxation.

Its formation energy is 213 meV per atom. Its volume is 175.6 Å³ per cell. The calculation puts the total energy at -7.72 eV per atom. As for the energy relative to the lowest polymorph listed for this composition: 0.303 eV/atom.

It has space group Fmm2 (No. 42), with a = 2.906 Å, b = 4.502 Å, c = 13.419 Å, α = 90.00°, β = 90.00° and γ = 90.00°. The asymmetric unit holds Cu at (0.000, 0.000, 0.000), Mo at (0.000, 0.000, 0.332) and Ir at (0.000, 0.000, 0.667).

=====

Entry 12:
VASP calculation (GGA-PBE) on TaNb2Pt after structural relaxation.

Its formation energy is -296 meV per atom. Its volume is 70.3 Å³ per cell. The calculation puts the total energy at -9.80 eV per atom. As for the energy relative to the lowest polymorph listed for this composition: 0.022 eV/atom.

It has space group P4/mmm (No. 123), with a = 3.344 Å, b = 3.344 Å, c = 6.289 Å, α = 90.00°, β = 90.00° and γ = 90.00°. The asymmetric unit holds Ta at (0.000, 0.000, 0.000), Nb at (0.500, 0.500, 0.249) and Pt at (0.000, 0.000, 0.500).